[1]
! AuSe3 PBE-GGA optimized geometry; values from VASP
! Volume in Å³/cell: 225
! N(E_F) in states/eV/f.u.: 1.58
! Formation energy from raw total energies in eV/atom: 0.18
! Crystal system: orthorhombic
! Symmetry: Cmcm (63)
&SYSTEM
  ibrav = 0, nat = 8, ntyp = 2
/
ATOMIC_SPECIES
Au 196.97 Au.upf
Se 78.96 Se.upf
CELL_PARAMETERS angstrom
3.596 -8.705 0.000
3.596 8.705 0.000
0.000 0.000 3.600
ATOMIC_POSITIONS crystal
Au 0.637 0.363 0.250
Se 0.157 0.843 0.250
Se 0.843 0.157 0.750
Au 0.363 0.637 0.750
Se 0.641 0.863 0.250
Se 0.359 0.137 0.750
Se 0.137 0.359 0.250
Se 0.863 0.641 0.750


[2]
! TaTc2Os PBE-GGA optimized geometry; values from VASP
! Volume in Å³/cell: 62
! N(E_F) in states/eV/f.u.: 5.97
! Crystal system: cubic
! Symmetry: F-43m (216)
! DFT total energy in eV for the cell shown: -43.51
&SYSTEM
  ibrav = 0, nat = 4, ntyp = 3
/
ATOMIC_SPECIES
Os 190.23 Os.upf
Tc 98.00 Tc.upf
Ta 180.95 Ta.upf
CELL_PARAMETERS angstrom
-3.276 2.456 1.719
-3.716 -1.954 1.445
-0.864 -0.184 4.351
ATOMIC_POSITIONS crystal
Os 0.500 0.500 0.500
Tc 0.250 0.250 0.250
Ta 0.750 0.750 0.750
Tc 0.000 0.000 0.000